PBE NaInPbI4, relaxed; ΔE_f (raw) = -734 meV/atom; space group = Imma, No. 74
1.0
-4.7506 4.8731 7.1089
4.7506 -4.8731 7.1089
4.7506 4.8731 -7.1089
Na In Pb I
2 2 2 8
direct
0.3876 0.1376 0.2500 Na
0.6124 0.8624 0.7500 Na
0.0000 0.0000 0.5000 In
0.0000 0.5000 0.0000 In
0.0000 0.5000 0.5000 Pb
0.5000 0.5000 0.0000 Pb
0.2324 0.7277 0.5047 I
0.2499 0.2638 0.5140 I
0.2499 0.7359 0.9860 I
0.2771 0.2723 0.0047 I
0.7229 0.7277 0.9953 I
0.7501 0.2641 0.0140 I
0.7501 0.7362 0.4860 I
0.7676 0.2723 0.4953 I

PBE Na2In3PbI6, relaxed; ΔE_f (raw) = -628 meV/atom; space group = C2/m, No. 12
1.0
3.9237 -6.8929 0.0000
3.9237 6.8929 0.0000
-2.7336 0.0000 8.7516
Na In Pb I
2 3 1 6
direct
0.1660 0.8340 0.0000 Na
0.8340 0.1660 0.0000 Na
0.0000 0.0000 0.5000 In
0.3334 0.6666 0.5000 In
0.6666 0.3334 0.5000 In
0.5000 0.5000 0.0000 Pb
0.0900 0.4255 0.7770 I
0.2398 0.2398 0.2215 I
0.4255 0.0900 0.7770 I
0.5745 0.9100 0.2230 I
0.7602 0.7602 0.7785 I
0.9100 0.5745 0.2230 I

PBE NaPrIn2I6, relaxed; ΔE_f (raw) = -994 meV/atom; space group = R3, No. 146
1.0
4.2580 2.4583 7.3214
-4.2580 2.4583 7.3214
0.0000 -4.9167 7.3214
Na Pr In I
1 1 2 6
direct
0.0000 0.0000 0.0000 Na
0.4944 0.4944 0.4944 Pr
0.2950 0.2950 0.2950 In
0.8003 0.8003 0.8003 In
0.1305 0.7140 0.3699 I
0.2356 0.6295 0.8490 I
0.3699 0.1305 0.7140 I
0.6295 0.8490 0.2356 I
0.7140 0.3699 0.1305 I
0.8490 0.2356 0.6295 I

PBE NaPuIn2I6, relaxed; ΔE_f (raw) = -849 meV/atom; space group = R3, No. 146
1.0
4.2299 2.4421 7.2929
-4.2299 2.4421 7.2929
0.0000 -4.8843 7.2929
Na Pu In I
1 1 2 6
direct
0.0000 0.0000 0.0000 Na
0.5056 0.5056 0.5056 Pu
0.1998 0.1998 0.1998 In
0.7057 0.7057 0.7057 In
0.1585 0.3648 0.7601 I
0.2871 0.8640 0.6315 I
0.3648 0.7601 0.1585 I
0.6315 0.2871 0.8640 I
0.7601 0.1585 0.3648 I
0.8640 0.6315 0.2871 I

PBE RbNa2InI6, relaxed; ΔE_f (raw) = -961 meV/atom; space group = P1, No. 1
1.0
8.1695 0.0000 0.0000
-4.0834 7.0816 0.0000
-4.0822 -2.3588 7.4988
Rb Na In I
1 2 1 6
direct
0.0000 0.0000 0.0000 Rb
0.5860 0.2933 0.8785 Na
0.6200 0.8104 0.4298 Na
0.9614 0.4809 0.4418 In
0.1070 0.2481 0.6603 I
0.1071 0.4508 0.1969 I
0.4125 0.8593 0.6603 I
0.5411 0.0906 0.1968 I
0.7463 0.6562 0.1968 I
0.8009 0.5535 0.6601 I

PBE Rb2NaInI4, relaxed; ΔE_f (raw) = -1158 meV/atom; space group = P2/m, No. 10
1.0
8.7379 0.0000 0.0000
0.0000 5.0383 0.0000
-2.8925 0.0000 8.2881
Rb Na In I
2 1 1 4
direct
0.0000 0.0000 0.0000 Rb
0.0000 0.5000 0.5000 Rb
0.5000 0.0000 0.5000 Na
0.5000 0.5000 0.0000 In
0.2728 0.0000 0.7454 I
0.2779 0.5000 0.2692 I
0.7221 0.5000 0.7308 I
0.7272 0.0000 0.2546 I